# 1
## Cu2Pt2Au (PBE-GGA)

Data for Cu2Pt2Au after structural relaxation. Values from VASP.

```
&SYSTEM
  ibrav = 0, nat = 5, ntyp = 3
/
ATOMIC_SPECIES
Cu 63.55 Cu.upf
Pt 195.08 Pt.upf
Au 196.97 Au.upf
ATOMIC_POSITIONS angstrom
Cu 1.752 0.000 3.251
Cu 0.000 1.752 3.251
Pt 0.000 0.000 1.375
Pt 0.000 0.000 11.628
Au 0.000 0.000 6.502
CELL_PARAMETERS angstrom
-1.752 1.752 6.502
1.752 -1.752 6.502
1.752 1.752 -6.502
```

Output
Crystal system: tetragonal
Uncorrected energy in eV/cell: -22.5



# 2
## Cu8PtAu5 (PBE-GGA)

Data for Cu8PtAu5 after structural relaxation. Values from VASP.

```
&SYSTEM
  ibrav = 0, nat = 14, ntyp = 3
/
ATOMIC_SPECIES
Cu 63.55 Cu.upf
Pt 195.08 Pt.upf
Au 196.97 Au.upf
ATOMIC_POSITIONS angstrom
Cu 5.013 0.482 -0.467
Cu 1.435 -0.829 1.935
Cu 2.377 4.641 -1.787
Cu 0.482 2.609 0.467
Cu 2.982 2.377 1.787
Cu 3.329 1.202 4.189
Cu -1.202 3.329 3.255
Cu 0.829 1.435 5.509
Pt 3.811 0.000 1.861
Au 0.000 0.000 0.000
Au 2.962 2.211 -0.788
Au 1.600 -0.850 4.510
Au 0.850 1.600 2.934
Au 2.211 4.661 0.788
CELL_PARAMETERS angstrom
-3.811 3.811 3.722
3.811 -3.811 3.722
3.811 3.811 -3.722
```

Output
Crystal system: tetragonal
Uncorrected energy in eV/cell: -53.8



# 3
## Cu2PtAu (PBE-GGA)

Data for Cu2PtAu after structural relaxation. Values from VASP.

```
&SYSTEM
  ibrav = 0, nat = 4, ntyp = 3
/
ATOMIC_SPECIES
Cu 63.55 Cu.upf
Pt 195.08 Pt.upf
Au 196.97 Au.upf
ATOMIC_POSITIONS angstrom
Cu 0.000 0.000 0.000
Cu 0.000 2.008 2.028
Pt 1.770 0.000 2.028
Au 1.770 2.008 0.000
CELL_PARAMETERS angstrom
3.539 0.000 0.000
0.000 4.016 0.000
0.000 0.000 4.056
```

Output
Crystal system: orthorhombic
Uncorrected energy in eV/cell: -18.0



# 4
## Cu2PtAu (PBE-GGA)

Data for Cu2PtAu after structural relaxation. Values from VASP.

```
&SYSTEM
  ibrav = 0, nat = 4, ntyp = 3
/
ATOMIC_SPECIES
Cu 63.55 Cu.upf
Pt 195.08 Pt.upf
Au 196.97 Au.upf
ATOMIC_POSITIONS angstrom
Cu 1.423 1.772 0.000
Cu 1.423 -1.772 0.000
Pt 0.000 0.000 1.429
Au 2.846 0.000 1.429
CELL_PARAMETERS angstrom
2.846 -3.543 0.000
2.846 3.543 0.000
0.000 0.000 2.858
```

Output
Crystal system: orthorhombic
Uncorrected energy in eV/cell: -18.0



# 5
## Cu5PtAu6 (PBE-GGA)

Data for Cu5PtAu6 after structural relaxation. Values from VASP.

```
&SYSTEM
  ibrav = 0, nat = 12, ntyp = 3
/
ATOMIC_SPECIES
Cu 63.55 Cu.upf
Pt 195.08 Pt.upf
Au 196.97 Au.upf
ATOMIC_POSITIONS angstrom
Cu 0.000 0.000 0.000
Cu 2.041 0.000 2.095
Cu 0.000 0.000 4.124
Cu 0.000 0.000 7.999
Cu 0.000 3.737 3.966
Pt 0.000 3.737 0.000
Au 2.041 -1.946 4.014
Au 2.041 1.748 0.000
Au 0.000 1.790 2.048
Au 2.041 1.946 4.014
Au 0.000 1.989 6.061
Au 0.000 5.683 2.048
CELL_PARAMETERS angstrom
-2.041 3.737 6.061
2.041 -3.737 6.061
2.041 3.737 -6.061
```

Output
Crystal system: orthorhombic
Uncorrected energy in eV/cell: -46.7



# 6
## Cu7PtAu3 (PBE-GGA)

Data for Cu7PtAu3 after structural relaxation. Values from VASP.

```
&SYSTEM
  ibrav = 0, nat = 11, ntyp = 3
/
ATOMIC_SPECIES
Cu 63.55 Cu.upf
Pt 195.08 Pt.upf
Au 196.97 Au.upf
ATOMIC_POSITIONS angstrom
Cu 0.000 0.000 0.000
Cu 2.193 2.385 1.407
Cu 0.907 0.000 3.463
Cu 4.374 2.385 2.727
Cu 2.193 -2.385 1.407
Cu 5.659 0.000 0.671
Cu 4.374 -2.385 2.727
Pt -1.180 0.000 2.067
Au 4.464 2.191 0.000
Au 3.283 0.000 2.067
Au 4.464 -2.191 0.000
CELL_PARAMETERS angstrom
4.464 -4.687 0.000
4.464 4.687 0.000
-2.360 0.000 4.134
```

Output
Crystal system: monoclinic
Uncorrected energy in eV/cell: -42.7



# 7
## CuPtAu (PBE-GGA)

Data for CuPtAu after structural relaxation. Values from VASP.

```
&SYSTEM
  ibrav = 0, nat = 3, ntyp = 3
/
ATOMIC_SPECIES
Cu 63.55 Cu.upf
Pt 195.08 Pt.upf
Au 196.97 Au.upf
ATOMIC_POSITIONS angstrom
Cu 0.000 0.000 0.000
Pt 0.765 1.374 3.745
Au 2.941 1.374 1.937
CELL_PARAMETERS angstrom
4.246 0.000 0.000
0.000 2.748 0.000
-1.320 0.000 4.392
```

Output
Crystal system: monoclinic
Uncorrected energy in eV/cell: -13.0



# 8
## CuPtAu (PBE-GGA)

Data for CuPtAu after structural relaxation. Values from VASP.

```
&SYSTEM
  ibrav = 0, nat = 3, ntyp = 3
/
ATOMIC_SPECIES
Cu 63.55 Cu.upf
Pt 195.08 Pt.upf
Au 196.97 Au.upf
ATOMIC_POSITIONS angstrom
Cu 0.000 0.000 0.000
Pt 0.000 0.000 5.709
Au 0.000 0.000 2.921
CELL_PARAMETERS angstrom
-1.415 1.859 4.391
1.415 -1.859 4.391
1.415 1.859 -4.391
```

Output
Crystal system: orthorhombic
Uncorrected energy in eV/cell: -13.5



# 9
## Cu6Pt4Au (PBE-GGA)

Data for Cu6Pt4Au after structural relaxation. Values from VASP.

```
&SYSTEM
  ibrav = 0, nat = 11, ntyp = 3
/
ATOMIC_SPECIES
Cu 63.55 Cu.upf
Pt 195.08 Pt.upf
Au 196.97 Au.upf
ATOMIC_POSITIONS angstrom
Cu 2.880 0.000 0.000
Cu 1.960 -1.960 4.142
Cu 0.920 0.920 0.902
Cu 0.000 2.880 0.000
Cu -1.960 1.960 4.142
Cu 1.960 1.960 5.947
Pt 1.428 1.428 -1.791
Pt 1.452 -1.452 6.835
Pt 1.452 1.452 3.254
Pt -1.452 1.452 6.835
Au 0.000 0.000 5.044
CELL_PARAMETERS angstrom
-2.880 2.880 5.044
2.880 -2.880 5.044
2.880 2.880 -5.044
```

Output
Crystal system: tetragonal
Uncorrected energy in eV/cell: -49.4



# 10
## Cu3PtAu3 (PBE-GGA)

Data for Cu3PtAu3 after structural relaxation. Values from VASP.

```
&SYSTEM
  ibrav = 0, nat = 14, ntyp = 3
/
ATOMIC_SPECIES
Cu 63.55 Cu.upf
Pt 195.08 Pt.upf
Au 196.97 Au.upf
ATOMIC_POSITIONS angstrom
Cu 3.646 2.195 0.000
Cu 3.646 2.037 3.848
Cu 2.029 0.000 3.848
Cu 5.262 0.000 3.848
Cu 3.646 -2.037 3.848
Cu 3.646 -2.195 0.000
Pt 2.203 0.000 0.000
Pt 5.089 0.000 0.000
Au 0.000 0.000 1.962
Au 0.000 0.000 5.734
Au 1.823 2.034 1.986
Au 1.823 2.034 5.711
Au 1.823 -2.034 1.986
Au 1.823 -2.034 5.711
CELL_PARAMETERS angstrom
3.646 -4.069 0.000
3.646 4.069 0.000
0.000 0.000 7.697
```

Output
Crystal system: orthorhombic
Uncorrected energy in eV/cell: -55.2



# 11
## Cu2PtAu6 (PBE-GGA)

Data for Cu2PtAu6 after structural relaxation. Values from VASP.

```
&SYSTEM
  ibrav = 0, nat = 9, ntyp = 3
/
ATOMIC_SPECIES
Cu 63.55 Cu.upf
Pt 195.08 Pt.upf
Au 196.97 Au.upf
ATOMIC_POSITIONS angstrom
Cu 1.214 0.000 1.612
Cu 6.170 0.000 4.630
Pt -0.944 0.000 3.121
Au 3.478 1.361 0.816
Au 1.626 0.000 4.243
Au 3.906 1.361 5.427
Au 3.478 -1.361 0.816
Au 5.758 0.000 2.000
Au 3.906 -1.361 5.427
CELL_PARAMETERS angstrom
4.636 -2.770 0.000
4.636 2.770 0.000
-1.888 0.000 6.243
```

Output
Crystal system: monoclinic
Uncorrected energy in eV/cell: -32.9



# 12
## Cu2PtAu (PBE-GGA)

Data for Cu2PtAu after structural relaxation. Values from VASP.

```
&SYSTEM
  ibrav = 0, nat = 4, ntyp = 3
/
ATOMIC_SPECIES
Cu 63.55 Cu.upf
Pt 195.08 Pt.upf
Au 196.97 Au.upf
ATOMIC_POSITIONS angstrom
Cu 0.000 0.000 0.000
Cu 1.439 1.439 1.459
Pt 0.000 0.000 3.102
Au 1.439 1.439 5.173
CELL_PARAMETERS angstrom
2.878 0.000 0.000
0.000 2.878 0.000
0.000 0.000 6.960
```

Output
Crystal system: tetragonal
Uncorrected energy in eV/cell: -17.7